1.
6
Lattice="3.7260 0.0000 0.0000 -0.0117 6.3594 0.0000 -1.7986 -2.5708 5.7842" Properties=species:S:1:pos:R:3 comment="HAuSe | OQMD via LeMat-Bulk | GGA-PBE | optimized geometry" dft_energy_ry_per_atom=-0.2531 vol_a3_per_cell=137.06 pbc="T T T"
H 0.0000 0.0000 0.0000
H 0.1701 6.0385 0.6571
Au -0.8512 1.7267 3.2286
Au 1.0060 4.9064 3.2285
Se 1.0118 2.8360 1.9470
Se 1.0118 0.6173 4.5102

---

2.
24
Lattice="5.1349 -2.9808 0.0000 5.1349 2.9808 0.0000 -3.3538 0.0000 13.4509" Properties=species:S:1:pos:R:3 comment="Ta2BiN | OQMD via LeMat-Bulk | GGA-PBE | optimized geometry" dft_energy_ry_per_atom=-0.6730 vol_a3_per_cell=411.77 pbc="T T T"
Ta 2.6741 2.4720 7.7180
Ta 2.5651 2.4720 12.4583
Ta 2.5450 0.4345 0.9479
Ta 2.6398 0.5517 5.7634
Ta 0.8681 -0.4345 7.6734
Ta 0.9630 -0.5517 12.4888
Ta 5.9531 0.5517 0.9621
Ta 6.0479 0.4345 5.7775
Ta 4.2762 -0.5517 7.6875
Ta 4.3710 -0.4345 12.5029
Ta 4.3510 -2.4720 0.9926
Ta 4.2420 -2.4720 5.7328
Bi -0.7923 0.5032 10.0820
Bi 0.8845 -0.5032 3.3565
Bi 2.6196 0.4847 10.0881
Bi 4.2965 -0.4847 3.3627
Bi 6.0315 0.5032 10.0943
Bi 7.7084 -0.5032 3.3689
N 0.8906 1.4904 6.7254
N 4.2308 1.4754 0.0000
N 4.3622 1.4754 6.7254
N 2.5675 -1.4904 0.0000
N 2.5539 -1.4754 6.7254
N 6.0390 -1.4754 0.0000

---

3.
16
Lattice="4.6793 0.0000 0.0000 0.0000 4.6793 0.0000 0.0000 0.0000 10.5419" Properties=species:S:1:pos:R:3 comment="Na2NdGdO4 | OQMD via LeMat-Bulk | GGA-PBE | optimized geometry" dft_energy_ry_per_atom=-0.4910 vol_a3_per_cell=230.83 pbc="T T T"
Na 0.0000 0.0000 0.0000
Na 0.0000 2.3397 2.6355
Na 2.3397 0.0000 7.9065
Na 2.3397 2.3397 5.2710
Nd 0.0000 2.3397 7.9065
Nd 2.3397 0.0000 2.6355
Gd 0.0000 0.0000 5.2710
Gd 2.3397 2.3397 0.0000
O 0.0000 0.0000 2.9762
O 0.0000 0.0000 7.5657
O 0.0000 2.3397 5.5015
O 0.0000 2.3397 10.3114
O 2.3397 0.0000 0.2305
O 2.3397 0.0000 5.0404
O 2.3397 2.3397 2.2948
O 2.3397 2.3397 8.2472